#P
# PrLuIr2 | Alexandria | PBE | relaxed
data_PrLuIr2
_chemical_formula_sum 'Pr4 Lu4 Ir8'
_symmetry_space_group_name_H-M 'F m -3 m'
_symmetry_Int_Tables_number 225
_symmetry_space_group_name_Hall '-F 4 2 3'
_cell_length_a 6.941
_cell_length_b 6.941
_cell_length_c 6.941
_cell_angle_alpha 90.00
_cell_angle_beta 90.00
_cell_angle_gamma 90.00
loop_
_atom_site_label
_atom_site_type_symbol
_atom_site_fract_x
_atom_site_fract_y
_atom_site_fract_z
Pr1 Pr 0.000 0.000 0.000
Lu1 Lu 0.000 0.000 0.500
Ir1 Ir 0.250 0.250 0.250
# Calculated volume in Å³ per atom: 20.90

=====

#Q
# PrLuIr2 | Alexandria | PBE | relaxed
data_PrLuIr2
_chemical_formula_sum 'Pr1 Lu1 Ir2'
_symmetry_space_group_name_H-M 'P 4/m m m'
_symmetry_Int_Tables_number 123
_symmetry_space_group_name_Hall '-P 4 2'
_cell_length_a 3.369
_cell_length_b 3.369
_cell_length_c 7.302
_cell_angle_alpha 90.00
_cell_angle_beta 90.00
_cell_angle_gamma 90.00
loop_
_atom_site_label
_atom_site_type_symbol
_atom_site_fract_x
_atom_site_fract_y
_atom_site_fract_z
Pr1 Pr 0.000 0.000 0.000
Lu1 Lu 0.000 0.000 0.500
Ir1 Ir 0.500 0.500 0.272
# Calculated volume in Å³ per atom: 20.72

=====

Least stable: #P

=====

#P
# Lu2PuIr | Alexandria | PBE | relaxed
data_Lu2PuIr
_chemical_formula_sum 'Lu6 Pu3 Ir3'
_symmetry_space_group_name_H-M 'R -3 m'
_symmetry_Int_Tables_number 166
_symmetry_space_group_name_Hall '-R 3 2"'
_cell_length_a 3.7496
_cell_length_b 3.7496
_cell_length_c 27.4595
_cell_angle_alpha 90.00
_cell_angle_beta 90.00
_cell_angle_gamma 120.00
loop_
_atom_site_label
_atom_site_type_symbol
_atom_site_fract_x
_atom_site_fract_y
_atom_site_fract_z
Lu1 Lu 0.0000 0.0000 0.2252
Pu1 Pu 0.0000 0.0000 0.0000
Ir1 Ir 0.0000 0.0000 0.5000
# Calculated volume in Å³ per atom: 27.86

=====

#Q
# Lu2PuIr | Alexandria | PBE | relaxed
data_Lu2PuIr
_chemical_formula_sum 'Lu2 Pu1 Ir1'
_symmetry_space_group_name_H-M 'P 4/m m m'
_symmetry_Int_Tables_number 123
_symmetry_space_group_name_Hall '-P 4 2'
_cell_length_a 3.347
_cell_length_b 3.347
_cell_length_c 8.606
_cell_angle_alpha 90.00
_cell_angle_beta 90.00
_cell_angle_gamma 90.00
loop_
_atom_site_label
_atom_site_type_symbol
_atom_site_fract_x
_atom_site_fract_y
_atom_site_fract_z
Lu1 Lu 0.000 0.000 0.192
Pu1 Pu 0.500 0.500 0.500
Ir1 Ir 0.500 0.500 0.000
# Calculated volume in Å³ per atom: 24.10

=====

Least stable: #P

=====

#P
# LuScIr | Alexandria | PBE | relaxed
data_LuScIr
_chemical_formula_sum 'Lu4 Sc4 Ir4'
_symmetry_space_group_name_H-M 'F -4 3 m'
_symmetry_Int_Tables_number 216
_symmetry_space_group_name_Hall 'F -4 2 3'
_cell_length_a 6.523
_cell_length_b 6.523
_cell_length_c 6.523
_cell_angle_alpha 90.00
_cell_angle_beta 90.00
_cell_angle_gamma 90.00
loop_
_atom_site_label
_atom_site_type_symbol
_atom_site_fract_x
_atom_site_fract_y
_atom_site_fract_z
Lu1 Lu 0.000 0.000 0.000
Sc1 Sc 0.000 0.000 0.500
Ir1 Ir 0.250 0.250 0.250
# Calculated volume in Å³ per atom: 23.13

=====

#Q
# LuScIr | Alexandria | PBE | relaxed
data_LuScIr
_chemical_formula_sum 'Lu2 Sc2 Ir2'
_symmetry_space_group_name_H-M 'I 4 m m'
_symmetry_Int_Tables_number 107
_symmetry_space_group_name_Hall 'I 4 -2'
_cell_length_a 3.239
_cell_length_b 3.239
_cell_length_c 12.434
_cell_angle_alpha 90.00
_cell_angle_beta 90.00
_cell_angle_gamma 90.00
loop_
_atom_site_label
_atom_site_type_symbol
_atom_site_fract_x
_atom_site_fract_y
_atom_site_fract_z
Lu1 Lu 0.000 0.000 0.000
Sc1 Sc 0.000 0.000 0.731
Ir1 Ir 0.000 0.000 0.359
# Calculated volume in Å³ per atom: 21.74

=====

Least stable: #Q

=====

#P
# Lu2ScIr | Alexandria | PBE | relaxed
data_Lu2ScIr
_chemical_formula_sum 'Lu2 Sc1 Ir1'
_symmetry_space_group_name_H-M 'P 4/m m m'
_symmetry_Int_Tables_number 123
_symmetry_space_group_name_Hall '-P 4 2'
_cell_length_a 3.416
_cell_length_b 3.416
_cell_length_c 8.116
_cell_angle_alpha 90.00
_cell_angle_beta 90.00
_cell_angle_gamma 90.00
loop_
_atom_site_label
_atom_site_type_symbol
_atom_site_fract_x
_atom_site_fract_y
_atom_site_fract_z
Lu1 Lu 0.000 0.000 0.195
Sc1 Sc 0.500 0.500 0.500
Ir1 Ir 0.500 0.500 0.000
# Calculated volume in Å³ per atom: 23.68

=====

#Q
# Lu2ScIr | Alexandria | PBE | relaxed
data_Lu2ScIr
_chemical_formula_sum 'Lu6 Sc3 Ir3'
_symmetry_space_group_name_H-M 'R -3 m'
_symmetry_Int_Tables_number 166
_symmetry_space_group_name_Hall '-R 3 2"'
_cell_length_a 3.6761
_cell_length_b 3.6761
_cell_length_c 27.0224
_cell_angle_alpha 90.00
_cell_angle_beta 90.00
_cell_angle_gamma 120.00
loop_
_atom_site_label
_atom_site_type_symbol
_atom_site_fract_x
_atom_site_fract_y
_atom_site_fract_z
Lu1 Lu 0.0000 0.0000 0.2288
Sc1 Sc 0.0000 0.0000 0.0000
Ir1 Ir 0.0000 0.0000 0.5000
# Calculated volume in Å³ per atom: 26.35

=====

Least stable: #Q

=====

#P
# Lu2IrSe | Alexandria | PBE | relaxed
data_Lu2IrSe
_chemical_formula_sum 'Lu2 Ir1 Se1'
_symmetry_space_group_name_H-M 'P 4/m m m'
_symmetry_Int_Tables_number 123
_symmetry_space_group_name_Hall '-P 4 2'
_cell_length_a 3.412
_cell_length_b 3.412
_cell_length_c 7.145
_cell_angle_alpha 90.00
_cell_angle_beta 90.00
_cell_angle_gamma 90.00
loop_
_atom_site_label
_atom_site_type_symbol
_atom_site_fract_x
_atom_site_fract_y
_atom_site_fract_z
Lu1 Lu 0.000 0.000 0.230
Ir1 Ir 0.500 0.500 0.000
Se1 Se 0.500 0.500 0.500
# Calculated volume in Å³ per atom: 20.80

=====

#Q
# Lu2IrSe | Alexandria | PBE | relaxed
data_Lu2IrSe
_chemical_formula_sum 'Lu6 Ir3 Se3'
_symmetry_space_group_name_H-M 'R -3 m'
_symmetry_Int_Tables_number 166
_symmetry_space_group_name_Hall '-R 3 2"'
_cell_length_a 3.9117
_cell_length_b 3.9117
_cell_length_c 20.7574
_cell_angle_alpha 90.00
_cell_angle_beta 90.00
_cell_angle_gamma 120.00
loop_
_atom_site_label
_atom_site_type_symbol
_atom_site_fract_x
_atom_site_fract_y
_atom_site_fract_z
Lu1 Lu 0.0000 0.0000 0.2418
Ir1 Ir 0.0000 0.0000 0.5000
Se1 Se 0.0000 0.0000 0.0000
# Calculated volume in Å³ per atom: 22.92

=====

Least stable: #P

=====

#P
# Lu2SnIr | Alexandria | PBE | relaxed
data_Lu2SnIr
_chemical_formula_sum 'Lu2 Sn1 Ir1'
_symmetry_space_group_name_H-M 'P 4/m m m'
_symmetry_Int_Tables_number 123
_symmetry_space_group_name_Hall '-P 4 2'
_cell_length_a 3.404
_cell_length_b 3.404
_cell_length_c 7.759
_cell_angle_alpha 90.00
_cell_angle_beta 90.00
_cell_angle_gamma 90.00
loop_
_atom_site_label
_atom_site_type_symbol
_atom_site_fract_x
_atom_site_fract_y
_atom_site_fract_z
Lu1 Lu 0.000 0.000 0.209
Sn1 Sn 0.500 0.500 0.500
Ir1 Ir 0.500 0.500 0.000
# Calculated volume in Å³ per atom: 22.47

=====

#Q
# Lu2SnIr | Alexandria | PBE | relaxed
data_Lu2SnIr
_chemical_formula_sum 'Lu8 Sn4 Ir4'
_symmetry_space_group_name_H-M 'F m -3 m'
_symmetry_Int_Tables_number 225
_symmetry_space_group_name_Hall '-F 4 2 3'
_cell_length_a 7.046
_cell_length_b 7.046
_cell_length_c 7.046
_cell_angle_alpha 90.00
_cell_angle_beta 90.00
_cell_angle_gamma 90.00
loop_
_atom_site_label
_atom_site_type_symbol
_atom_site_fract_x
_atom_site_fract_y
_atom_site_fract_z
Lu1 Lu 0.250 0.250 0.250
Sn1 Sn 0.000 0.000 0.000
Ir1 Ir 0.000 0.000 0.500
# Calculated volume in Å³ per atom: 21.86

=====

#R
# Lu2SnIr | Alexandria | PBE | relaxed
data_Lu2SnIr
_chemical_formula_sum 'Lu6 Sn3 Ir3'
_symmetry_space_group_name_H-M 'R -3 m'
_symmetry_Int_Tables_number 166
_symmetry_space_group_name_Hall '-R 3 2"'
_cell_length_a 3.7502
_cell_length_b 3.7502
_cell_length_c 24.8494
_cell_angle_alpha 90.00
_cell_angle_beta 90.00
_cell_angle_gamma 120.00
loop_
_atom_site_label
_atom_site_type_symbol
_atom_site_fract_x
_atom_site_fract_y
_atom_site_fract_z
Lu1 Lu 0.0000 0.0000 0.2326
Sn1 Sn 0.0000 0.0000 0.0000
Ir1 Ir 0.0000 0.0000 0.5000
# Calculated volume in Å³ per atom: 25.22

=====

Least stable: #R

=====

#P
# LuTiIr2 | Alexandria | PBE | relaxed
data_LuTiIr2
_chemical_formula_sum 'Lu4 Ti4 Ir8'
_symmetry_space_group_name_H-M 'F m -3 m'
_symmetry_Int_Tables_number 225
_symmetry_space_group_name_Hall '-F 4 2 3'
_cell_length_a 6.477
_cell_length_b 6.477
_cell_length_c 6.477
_cell_angle_alpha 90.00
_cell_angle_beta 90.00
_cell_angle_gamma 90.00
loop_
_atom_site_label
_atom_site_type_symbol
_atom_site_fract_x
_atom_site_fract_y
_atom_site_fract_z
Lu1 Lu 0.000 0.000 0.000
Ti1 Ti 0.000 0.000 0.500
Ir1 Ir 0.250 0.250 0.250
# Calculated volume in Å³ per atom: 16.98

=====

#Q
# LuTiIr2 | Alexandria | PBE | relaxed
data_LuTiIr2
_chemical_formula_sum 'Lu1 Ti1 Ir2'
_symmetry_space_group_name_H-M 'P 4/m m m'
_symmetry_Int_Tables_number 123
_symmetry_space_group_name_Hall '-P 4 2'
_cell_length_a 3.080
_cell_length_b 3.080
_cell_length_c 7.147
_cell_angle_alpha 90.00
_cell_angle_beta 90.00
_cell_angle_gamma 90.00
loop_
_atom_site_label
_atom_site_type_symbol
_atom_site_fract_x
_atom_site_fract_y
_atom_site_fract_z
Lu1 Lu 0.000 0.000 0.000
Ti1 Ti 0.000 0.000 0.500
Ir1 Ir 0.500 0.500 0.283
# Calculated volume in Å³ per atom: 16.95

=====

Least stable: #P